*1*
Here is a geometry-optimized ReRhW2 structure from Alexandria. Energies are from GGA-PBE.

Calculated values
Density in g/cm³: 17.51
Space group: Fm-3m

abc: 6.293 6.293 6.293
angles: 90.00 90.00 90.00
Fractional positions:
Re  0.000  0.000  0.000
Re  0.000  0.500  0.500
Re  0.500  0.000  0.500
Re  0.500  0.500  0.000
Rh  0.000  0.000  0.500
Rh  0.000  0.500  0.000
Rh  0.500  0.000  0.000
Rh  0.500  0.500  0.500
W  0.250  0.250  0.250
W  0.250  0.250  0.750
W  0.250  0.750  0.250
W  0.250  0.750  0.750
W  0.750  0.250  0.250
W  0.750  0.250  0.750
W  0.750  0.750  0.250
W  0.750  0.750  0.750



*2*
Here is a geometry-optimized ReRhW2 structure from Alexandria. Energies are from GGA-PBE.

Calculated values
Density in g/cm³: 11.84
Space group: I-42d

abc: 5.686 5.686 11.401
angles: 90.00 90.00 90.00
Fractional positions:
Re  0.000  0.000  0.000
Re  0.000  0.500  0.250
Re  0.500  0.000  0.750
Re  0.500  0.500  0.500
Rh  0.000  0.000  0.500
Rh  0.000  0.500  0.750
Rh  0.500  0.000  0.250
Rh  0.500  0.500  0.000
W  0.243  0.250  0.625
W  0.250  0.743  0.875
W  0.250  0.757  0.375
W  0.257  0.250  0.125
W  0.743  0.750  0.125
W  0.750  0.243  0.375
W  0.750  0.257  0.875
W  0.757  0.750  0.625



Relative energies, unit meV/atom: *1* 0; *2* 1328